A relaxed Ta2CdH2 crystal. Source: the Alexandria database, functional PBE.

```
Ta2CdH2
1.0
6.622 0.000 0.000
0.000 6.622 0.000
0.000 0.000 2.881
Ta Cd H
4 2 4
Direct
0.144 0.356 0.000
0.356 0.856 0.000
0.644 0.144 0.000
0.856 0.644 0.000
0.000 0.000 0.500
0.500 0.500 0.500
0.104 0.604 0.500
0.396 0.104 0.500
0.604 0.896 0.500
0.896 0.396 0.500
```

Symmetry ... P4/mbm
Energy relative to the lowest polymorph listed for this composition ... 0.189 eV per atom
Electronic total energy ... -5.784 eV/atom


A relaxed Ta2CdH2 crystal. Source: the Alexandria database, functional PBE.

```
Ta2CdH2
1.0
3.896 0.000 0.000
0.000 3.896 0.000
0.000 0.000 9.258
Ta Cd H
4 2 4
Direct
0.000 0.500 0.250
0.000 0.500 0.750
0.500 0.000 0.250
0.500 0.000 0.750
0.000 0.000 0.000
0.500 0.500 0.500
0.000 0.000 0.328
0.000 0.000 0.672
0.500 0.500 0.172
0.500 0.500 0.828
```

Symmetry ... I4/mmm
Energy relative to the lowest polymorph listed for this composition ... 0.000 eV per atom
Electronic total energy ... -5.973 eV/atom


A relaxed TaCdH2 crystal. Source: the Alexandria database, functional PBE.

```
TaCdH2
1.0
5.526 0.000 0.000
0.000 5.526 0.000
0.000 0.000 6.180
Ta Cd H
4 4 8
Direct
0.000 0.000 0.000
0.000 0.500 0.250
0.500 0.000 0.750
0.500 0.500 0.500
0.000 0.000 0.500
0.000 0.500 0.750
0.500 0.000 0.250
0.500 0.500 0.000
0.171 0.250 0.125
0.250 0.671 0.375
0.250 0.829 0.875
0.329 0.250 0.625
0.671 0.750 0.625
0.750 0.171 0.875
0.750 0.329 0.375
0.829 0.750 0.125
```

Symmetry ... I-42d
Energy relative to the lowest polymorph listed for this composition ... 0.000 eV per atom
Electronic total energy ... -4.633 eV/atom